12
Lattice="8.1274 -2.1423 0.0000 8.1274 2.1423 0.0000 0.0000 0.0000 11.1613" Properties=species:S:1:pos:R:3 comment="CsDyCdSe3 | OQMD | PBE-GGA | relaxed" magnetic_moment_mub_per_fu=0.0 total_energy_ev_per_cell=-50.087 crystal_system=orthorhombic space_group=Cmcm pbc="T T T"
Se 1.0170 0.0000 2.7903
Se 10.0387 0.0000 10.6538
Se 6.2160 0.0000 0.5075
Se 10.0387 0.0000 6.0881
Se 15.2377 0.0000 8.3710
Se 6.2160 0.0000 5.0732
Dy 0.0000 0.0000 5.5807
Dy 0.0000 0.0000 0.0000
Cs 12.1285 0.0000 2.7903
Cs 4.1263 0.0000 8.3710
Cd 7.5071 0.0000 2.7903
Cd 8.7476 0.0000 8.3710

12
Lattice="-6.1817 5.9578 1.5773 4.0912 -7.4198 2.0991 7.3512 5.8997 6.5263" Properties=species:S:1:pos:R:3 comment="CsDyCdTe2Se | OQMD | PBE-GGA | relaxed" magnetic_moment_mub_per_fu=0.0 total_energy_ev_per_cell=-46.449 crystal_system=orthorhombic space_group=Cmcm pbc="T T T"
Cs 3.2440 -2.4484 3.5943
Cs 2.0167 6.8861 6.6084
Te -2.0290 1.1889 2.0423
Te 1.0395 3.6516 4.7665
Te 7.2897 3.2488 8.1604
Te 4.2211 0.7861 5.4362
Se 9.0563 -2.2811 6.9660
Se -3.7957 6.7188 3.2367
Dy 0.0000 0.0000 0.0000
Dy 3.6756 2.9498 3.2631
Cd 4.8673 3.1739 6.7532
Cd 0.3933 1.2637 3.4495

3
Lattice="2.8708 1.6575 4.6880 -2.8708 1.6575 4.6880 0.0000 -3.3149 4.6880" Properties=species:S:1:pos:R:3 comment="CsErCd | OQMD | PBE-GGA | relaxed" magnetic_moment_mub_per_fu=0.0 relative_energy_mev_per_atom=293.3 crystal_system=cubic space_group=F-43m pbc="T T T"
Cd 0.0000 0.0000 10.5480
Er 0.0000 0.0000 3.5160
Cs 0.0000 0.0000 0.0000

3
Lattice="0.0000 3.9467 3.9467 3.9467 0.0000 3.9467 3.9467 3.9467 0.0000" Properties=species:S:1:pos:R:3 comment="CsErCd | OQMD | PBE-GGA | relaxed" magnetic_moment_mub_per_fu=0.0 relative_energy_mev_per_atom=0.0 crystal_system=cubic space_group=F-43m pbc="T T T"
Cd 1.9734 1.9734 1.9734
Er 0.0000 0.0000 0.0000
Cs 5.9201 5.9201 5.9201

12
Lattice="-8.4721 -3.0603 -0.7962 1.3375 -3.8665 0.6290 2.2209 2.3615 9.7944" Properties=species:S:1:pos:R:3 comment="CsErCdS3 | OQMD | PBE-GGA | relaxed" magnetic_moment_mub_per_fu=0.0 total_energy_ev_per_cell=-54.358 crystal_system=monoclinic space_group=P2_1/m pbc="T T T"
Er -5.2054 -4.5653 3.4369
Er 0.2917 0.0000 6.1903
Cd -4.3507 -2.4777 0.8313
Cd -0.5630 -2.0876 8.7959
S 0.9405 -0.1897 3.6444
S -4.9593 -4.9598 0.4880
S -4.1235 -2.0037 3.2622
S 0.0456 0.3945 9.1392
S -0.7902 -2.5616 6.3650
S -5.8542 -4.3755 5.9828
Cs -4.2149 -1.4433 6.9011
Cs -0.6988 -3.1219 2.7261

12
Lattice="-6.7722 5.7312 -0.4690 -8.0605 2.9590 2.2808 5.2689 3.9328 6.4334" Properties=species:S:1:pos:R:3 comment="CsErCdS3 | OQMD | PBE-GGA | relaxed" magnetic_moment_mub_per_fu=0.0 total_energy_ev_per_cell=-53.317 crystal_system=monoclinic space_group=C2/m pbc="T T T"
S -3.8076 3.9584 2.2067
S -7.9811 7.2907 3.6109
S 2.6344 1.9664 3.2167
S -7.4163 4.3451 0.9059
S -1.5827 5.3322 4.6342
S -5.7561 8.6645 6.0384
Cd -5.9017 5.4221 2.7013
Cd -3.6621 7.2008 5.5438
Cs -1.9654 1.5638 0.6557
Cs -7.5984 11.0592 7.5894
Er 0.5278 3.6925 3.9699
Er -10.0915 8.9304 4.2752

- What is the formula in the first record?
  CsDyCdSe3